Below is crystalline Sc3GaBr3 at its relaxed geometry, with properties calculated at the GGA-PBE level.

Cell and atoms, written as POSCAR:
```
Sc3GaBr3
1.0
-7.682 -4.023 4.144
6.321 -6.845 -2.358
4.091 6.162 6.137
Sc Br Ga
12 12 4
direct
0.512 0.488 0.750
0.988 0.238 0.477
0.512 0.023 0.262
0.762 0.012 0.023
0.250 0.012 0.488
0.523 0.262 0.012
0.738 0.477 0.488
0.250 0.238 0.262
0.738 0.262 0.750
0.977 0.488 0.238
0.988 0.750 0.012
0.762 0.750 0.238
0.254 0.508 0.504
0.492 0.746 0.996
0.004 0.250 0.996
0.008 0.504 0.754
0.496 0.504 0.250
0.246 0.996 0.992
0.246 0.250 0.754
0.254 0.746 0.250
0.496 0.992 0.746
0.004 0.754 0.508
0.750 0.754 0.746
0.750 0.996 0.504
0.500 0.250 0.500
0.750 0.250 0.250
0.000 0.000 0.250
0.750 0.500 0.000
```

Space group = I4_132
Energy = -35.03 eV/f.u.
ΔE_f (raw) = -770.5 kJ/mol of formula units
ρ = 4.3 Mg/m³